[1]
Below is a geometry-optimized TmAl3Cu structure, with properties calculated at the PBE-GGA level.

Unit cell a=4.074 b=4.073 c=6.149 alpha=70.60 beta=70.61 gamma=89.97
Atoms (fractional coordinates):
Tm1 0.401 0.204 0.905
Cu1 0.017 0.820 0.671
Al1 0.644 0.947 0.417
Al2 0.802 0.606 0.101
Al3 0.144 0.447 0.417

Results
ΔE_f: -0.4064 eV per atom
Uncorrected energy: -21.8 eV/cell
ΔE to the lowest computed polymorph: 0 meV/atom
SG: No. 1

=====

[2]
Below is a geometry-optimized Y2Tm2Al4Cu structure, with properties calculated at the PBE-GGA level.

Unit cell a=6.521 b=6.521 c=6.521 alpha=96.50 beta=116.32 gamma=116.32
Atoms (fractional coordinates):
Tm1 0.000 0.303 0.303
Tm2 0.000 0.697 0.697
Al1 0.484 0.242 0.242
Al2 0.000 0.242 0.758
Al3 0.516 0.758 0.758
Al4 0.000 0.758 0.242
Y1 0.500 0.750 0.250
Y2 0.500 0.250 0.750
Cu1 0.000 0.000 0.000

Results
ΔE_f: -0.2198 eV per atom
Uncorrected energy: -42.9 eV/cell
SG: No. 139

=====

[3]
Below is a geometry-optimized YTmAlCu structure, with properties calculated at the PBE-GGA level.

Unit cell a=3.459 b=3.459 c=7.314 alpha=90.00 beta=90.00 gamma=90.00
Atoms (fractional coordinates):
Tm1 0.000 0.000 0.375
Cu1 0.500 0.500 0.592
Al1 0.500 0.500 0.114
Y1 0.000 0.000 0.846

Results
ΔE_f: -0.3393 eV per atom
Uncorrected energy: -20.1 eV/cell
ΔE to the lowest computed polymorph: 0 meV/atom
SG: No. 99